1.
Density functional theory data (PBE-GGA) for a relaxed Ga2CuPdAu crystal.

a b c (Å): 4.699 4.699 5.209
angles (deg): 90.00 90.00 90.00
Fractional positions:
Ga  0.000  0.500  0.000
Ga  0.500  0.000  0.000
Cu  0.000  0.000  0.500
Pd  0.500  0.500  0.000
Au  0.500  0.500  0.500

Computed properties:
M_tot: 0.000 μB/atom
ΔH_f (0 K): 176.7 kJ/mol of formula units
Space group: P4/mmm, No. 123



2.
Density functional theory data (PBE-GGA) for a relaxed Zn2AgOs crystal.

a b c (Å): 2.746 2.746 9.059
angles (deg): 90.00 90.00 117.12
Fractional positions:
Zn  0.000  0.000  0.243
Zn  0.000  0.000  0.757
Ag  0.500  0.500  0.500
Os  0.500  0.500  0.000

Computed properties:
M_tot: 0.000 μB/atom
ΔH_f (0 K): 70.6 kJ/mol of formula units
Space group: Cmmm, No. 65



Volume readings, ordered: 115.0; 60.8 Å³ per cell